Ac2Th (PBE-GGA, optimized geometry); offset from the most stable computed form = 0.365 eV/atom; space group = Fd-3m (227); calculated formation energy = 1.5 eV per formula unit; raw total energy = -4.699 eV per atom
1.0
7.007 0.000 0.000
3.504 6.068 0.000
3.504 2.023 5.721
Ac Th
4 2
direct
0.125 0.625 0.625
0.625 0.125 0.625
0.625 0.625 0.625
0.625 0.625 0.125
0.000 0.000 0.000
0.250 0.250 0.250

=====

AcTh3 (PBE-GGA, optimized geometry); space group = Imm2 (44); calculated formation energy = 0.6 eV per formula unit; raw total energy = -6.454 eV per atom
1.0
-2.944 1.509 1.513
-2.870 0.088 -5.671
0.633 -6.304 3.145
Ac Th
1 3
direct
0.000 0.999 0.000
0.246 0.578 0.492
0.500 0.503 0.000
0.754 0.087 0.508

=====

AcTh3 (PBE-GGA, optimized geometry); space group = Pmm2 (25); calculated formation energy = 0.5 eV per formula unit; raw total energy = -6.463 eV per atom
1.0
3.639 0.000 0.000
0.000 6.056 0.000
0.000 0.000 6.346
Ac Th
1 3
direct
0.000 0.500 0.332
0.000 0.000 0.995
0.500 0.000 0.511
0.500 0.500 0.829

=====

AcTh5 (PBE-GGA, optimized geometry); space group = Cmmm (65); calculated formation energy = 0.5 eV per formula unit; raw total energy = -6.778 eV per atom
1.0
5.114 0.000 0.000
0.000 5.115 0.000
0.000 -2.558 7.690
Ac Th
1 5
direct
0.000 0.000 0.000
0.000 0.669 0.338
0.000 0.331 0.662
0.500 0.500 0.000
0.500 0.170 0.339
0.500 0.830 0.661

=====

AcTh3 (PBE-GGA, optimized geometry); space group = Pm-3m (221); calculated formation energy = 0.6 eV per formula unit; raw total energy = -6.454 eV per atom
1.0
-2.750 -0.831 4.288
2.271 -4.600 0.564
3.731 2.188 2.817
Ac Th
1 3
direct
0.000 0.000 0.000
0.000 0.500 0.500
0.500 0.000 0.500
0.500 0.500 0.000

=====

Ac2Th (PBE-GGA, optimized geometry); offset from the most stable computed form = 0.000 eV/atom; space group = Immm (71); calculated formation energy = 0.4 eV per formula unit; raw total energy = -5.064 eV per atom
1.0
-1.437 -3.733 5.364
3.093 -0.834 5.874
-1.750 2.299 2.485
Ac Th
2 1
direct
0.440 0.986 0.577
0.121 0.667 0.896
0.781 0.327 0.237

=====

AcTh4 (PBE-GGA, optimized geometry); space group = Pm-3m (221); calculated formation energy = 7.0 eV per formula unit; raw total energy = -5.367 eV per atom
1.0
5.946 0.000 0.000
0.000 5.946 0.000
0.000 0.000 5.946
Ac Th
1 4
direct
0.500 0.500 0.500
0.000 0.000 0.000
0.500 0.000 0.500
0.000 0.500 0.500
0.500 0.500 0.000

=====

AcTh2 (PBE-GGA, optimized geometry); offset from the most stable computed form = 0.000 eV/atom; space group = I4/mmm (139); calculated formation energy = 0.4 eV per formula unit; raw total energy = -6.194 eV per atom
1.0
3.672 0.000 0.000
0.000 3.672 0.000
-1.836 -1.836 7.936
Ac Th
1 2
direct
0.000 0.000 0.000
0.674 0.674 0.349
0.326 0.326 0.651

=====

AcTh3 (PBE-GGA, optimized geometry); space group = Fm-3m (225); calculated formation energy = 1.0 eV per formula unit; raw total energy = -6.331 eV per atom
1.0
-2.261 2.000 4.972
-5.537 -1.162 1.352
-1.225 -3.687 4.328
Ac Th
1 3
direct
0.500 0.500 0.500
0.000 0.000 0.000
0.750 0.750 0.750
0.250 0.250 0.250

=====

AcTh3 (PBE-GGA, optimized geometry); space group = P6_3/mmc (194); calculated formation energy = 0.5 eV per formula unit; raw total energy = -6.460 eV per atom
1.0
7.334 0.000 0.000
-3.667 6.351 0.000
0.000 0.000 6.033
Ac Th
2 6
direct
0.333 0.667 0.750
0.667 0.333 0.250
0.161 0.323 0.250
0.677 0.839 0.250
0.161 0.839 0.250
0.839 0.677 0.750
0.323 0.161 0.750
0.839 0.161 0.750

=====

Ac4Th (PBE-GGA, optimized geometry); space group = Pm-3m (221); calculated formation energy = 3.3 eV per formula unit; raw total energy = -4.103 eV per atom
1.0
6.397 0.000 0.000
0.000 6.397 0.000
0.000 0.000 6.397
Ac Th
4 1
direct
0.000 0.000 0.000
0.500 0.000 0.500
0.000 0.500 0.500
0.500 0.500 0.000
0.500 0.500 0.500

=====

AcTh2Ti (PBE-GGA, optimized geometry); space group = R-3m (166); calculated formation energy = 1.7 eV per formula unit; raw total energy = -6.274 eV per atom
1.0
3.489 0.000 0.000
1.744 3.021 0.000
1.744 1.007 12.020
Ac Th Ti
1 2 1
direct
0.000 0.000 0.000
0.097 0.097 0.709
0.903 0.903 0.291
0.500 0.500 0.500

=====

AcThTl2 (PBE-GGA, optimized geometry); space group = P4/mmm (123); calculated formation energy = -0.7 eV per formula unit; raw total energy = -4.243 eV per atom
1.0
4.588 0.000 0.000
0.000 5.263 0.000
0.000 0.000 5.263
Ac Tl Th
1 2 1
direct
0.500 0.000 0.000
0.000 0.000 0.500
0.000 0.500 0.000
0.500 0.500 0.500

=====

AcThTl (PBE-GGA, optimized geometry); offset from the most stable computed form = 0.133 eV/atom; space group = R-3m (166); calculated formation energy = 0.3 eV per formula unit; raw total energy = -4.529 eV per atom
1.0
-5.300 -0.835 1.870
-1.451 -4.994 2.289
-0.202 0.654 8.350
Th Ac Tl
2 2 2
direct
0.297 0.297 0.110
0.703 0.703 0.890
0.119 0.119 0.644
0.881 0.881 0.356
0.433 0.433 0.700
0.567 0.567 0.300

=====

AcThTl2 (PBE-GGA, optimized geometry); space group = P4/mmm (123); calculated formation energy = -0.7 eV per formula unit; raw total energy = -4.247 eV per atom
1.0
4.159 0.000 0.000
0.000 4.159 0.000
0.000 0.000 7.455
Ac Tl Th
1 2 1
direct
0.500 0.500 0.500
0.000 0.000 0.769
0.000 0.000 0.231
0.500 0.500 0.000

=====

AcThTl2 (PBE-GGA, optimized geometry); space group = R-3m (166); calculated formation energy = -0.3 eV per formula unit; raw total energy = -4.139 eV per atom
1.0
3.905 0.000 0.000
1.953 3.382 0.000
1.953 1.127 10.367
Ac Tl Th
1 2 1
direct
0.500 0.500 0.500
0.747 0.747 0.759
0.253 0.253 0.241
0.000 0.000 0.000

=====

AcTh3Tl4 (PBE-GGA, optimized geometry); space group = P4/mmm (123); calculated formation energy = -1.2 eV per formula unit; raw total energy = -4.629 eV per atom
1.0
-0.978 3.844 1.335
-3.448 -1.511 1.828
7.315 -2.276 11.916
Ac Tl Th
1 4 3
direct
0.500 0.500 0.000
0.000 0.000 0.859
0.000 0.000 0.141
0.000 0.000 0.380
0.000 0.000 0.620
0.500 0.500 0.265
0.500 0.500 0.500
0.500 0.500 0.735

=====

AcThTl (PBE-GGA, optimized geometry); offset from the most stable computed form = 0.107 eV/atom; space group = P-6m2 (187); calculated formation energy = 0.2 eV per formula unit; raw total energy = -4.555 eV per atom
1.0
3.845 0.000 0.000
0.000 5.651 0.000
0.000 -2.826 4.894
Ac Tl Th
1 1 1
direct
0.333 0.333 0.667
0.832 0.667 0.333
0.834 0.000 0.000

=====

Ac4ThTl5 (PBE-GGA, optimized geometry); space group = P4/mmm (123); calculated formation energy = -2.9 eV per formula unit; raw total energy = -3.854 eV per atom
1.0
-0.811 1.730 -3.610
2.956 -2.224 -1.730
-13.497 -14.788 -4.056
Ac Th Tl
4 1 5
direct
0.000 0.000 0.192
0.000 0.000 0.396
0.000 0.000 0.604
0.000 0.000 0.808
0.000 0.000 0.000
0.500 0.500 0.090
0.500 0.500 0.294
0.500 0.500 0.500
0.500 0.500 0.706
0.500 0.500 0.910

=====

AcTh2Tl9 (PBE-GGA, optimized geometry); space group = P4/mmm (123); calculated formation energy = -2.4 eV per formula unit; raw total energy = -3.558 eV per atom
1.0
-2.088 -1.333 4.206
-3.061 -2.915 -2.443
9.551 -11.063 1.234
Ac Th Tl
1 2 9
direct
0.000 0.000 0.000
0.000 0.000 0.340
0.000 0.000 0.660
0.500 0.500 0.000
0.500 0.500 0.337
0.500 0.500 0.663
0.500 0.000 0.174
0.500 0.000 0.500
0.500 0.000 0.826
0.000 0.500 0.174
0.000 0.500 0.500
0.000 0.500 0.826